Record 1
CaTaReTe2 | GGA-PBE | optimized geometry

abc: 5.2961 4.9420 5.2961
angles: 90.00 90.00 90.00
Fractional coordinates of all 5 atoms:
Re: 0.5000 0.5000 0.5000
Ca: 0.0000 0.0000 0.0000
Te: 0.0000 0.0000 0.5000
Te: 0.5000 0.0000 0.0000
Ta: 0.0000 0.5000 0.0000

Values from the calculation:
Fermi-level density of states = 2.43 states/eV/atom
uncorrected formation energy = 2.44 eV/atom

=====

Record 2
CaTa2TiRe | GGA-PBE | optimized geometry

abc: 4.9342 4.8877 4.9342
angles: 90.00 90.00 90.00
Fractional coordinates of all 5 atoms:
Re: 0.0000 0.0000 0.0000
Ca: 0.5000 0.5000 0.5000
Ti: 0.0000 0.5000 0.0000
Ta: 0.0000 0.0000 0.5000
Ta: 0.5000 0.0000 0.0000

Values from the calculation:
E_form = 0.7810 eV per atom
Fermi-level density of states = 0.87 states/eV/atom

=====

For the records above, the corresponding calculated total energy values read -4.0751; -8.4290 eV per atom.